[1]
4
Lattice="-2.8530 -1.0471 2.2010 -0.9437 -4.4461 -3.3382 2.4859 -2.1714 2.1893" Properties=species:S:1:pos:R:3 comment="ZrAsSe2, relaxed, DFT PBE" magnetic_moment_mub_per_atom=0.000 total_energy_ev_per_atom=-5.404 raw_formation_energy_mev_per_atom=-362.1 pbc="T T T"
As 0.7711 -3.3088 -0.5745
Se -1.8983 -2.7466 -0.5686
Se 0.0000 0.0000 0.0000
Zr -0.1835 -1.6093 2.1952



[2]
10
Lattice="-3.2201 -0.3955 1.9998 -3.8280 -1.7426 -6.5086 4.1051 -7.3159 1.5319" Properties=species:S:1:pos:R:3 comment="Zr4AsSe5, relaxed, DFT PBE" magnetic_moment_mub_per_atom=0.000 total_energy_ev_per_atom=-6.907 raw_formation_energy_mev_per_atom=-1280.2 pbc="T T T"
Se -2.5251 -6.3907 -1.6984
Se -0.4178 -3.0633 -1.2785
Se -0.6574 -5.4924 1.4868
Se -2.2855 -3.9616 -4.4637
Se -3.5240 -1.0690 -2.2544
Zr -1.0776 -2.8164 1.3393
Zr -1.8653 -6.6376 -4.3163
Zr -0.9136 -0.4440 -1.5589
Zr -2.0294 -9.0100 -1.4181
As -1.6101 -0.1977 0.9999



[3]
8
Lattice="7.3354 0.0000 0.0000 0.0000 7.3354 0.0000 3.6677 3.6677 3.2815" Properties=species:S:1:pos:R:3 comment="ZrAsSe2, relaxed, DFT PBE" magnetic_moment_mub_per_atom=0.000 total_energy_ev_per_atom=-5.367 raw_formation_energy_mev_per_atom=-325.6 pbc="T T T"
Se 5.5192 1.8338 0.8204
Se 9.1692 9.1869 2.4611
Se 5.5015 5.4838 2.4611
Se 1.8161 5.5015 0.8204
Zr 7.3354 3.6677 1.6408
Zr 0.0000 0.0000 0.0000
As 3.6677 3.6677 0.0000
As 3.6677 7.3354 1.6408



[4]
4
Lattice="-4.6076 0.1732 1.8199 -1.3623 -3.6159 -3.1051 1.2191 -3.3863 3.4086" Properties=species:S:1:pos:R:3 comment="Si3As, relaxed, DFT PBE" magnetic_moment_mub_per_atom=0.000 total_energy_ev_per_atom=-3.766 polymorph_energy_mev_per_atom=1203 raw_formation_energy_mev_per_atom=1464.1 pbc="T T T"
Si -2.3038 0.0866 0.9100
Si -0.6812 -1.8080 -1.5525
Si 0.6095 -1.6932 1.7043
As 0.0000 0.0000 0.0000



[5]
6
Lattice="1.8180 -3.1488 0.0000 1.8180 3.1488 0.0000 0.0000 0.0000 9.9186" Properties=species:S:1:pos:R:3 comment="SiAs2, relaxed, DFT PBE" magnetic_moment_mub_per_atom=0.000 total_energy_ev_per_atom=-4.671 polymorph_energy_mev_per_atom=322 raw_formation_energy_mev_per_atom=236.5 pbc="T T T"
As 1.8180 -1.0496 4.0433
As 1.8180 1.0496 5.8753
As 1.8180 -1.0496 0.9160
As 1.8180 1.0496 9.0025
Si 0.0000 0.0000 7.4389
Si 0.0000 0.0000 2.4796



[6]
4
Lattice="3.5327 -0.0856 1.1326 1.8959 3.1629 0.4062 0.8763 -0.8573 9.4471" Properties=species:S:1:pos:R:3 comment="SiAs, relaxed, DFT PBE" magnetic_moment_mub_per_atom=0.000 total_energy_ev_per_atom=-5.106 raw_formation_energy_mev_per_atom=-69.7 pbc="T T T"
Si 2.1810 0.6557 8.5396
Si 4.1238 1.5643 2.4463
As 4.2361 -0.5207 8.1197
As 2.0688 2.7408 2.8662



[7]
4
Lattice="-1.7268 2.2179 0.5241 0.3984 -1.3950 2.4639 7.4020 5.3322 1.8223" Properties=species:S:1:pos:R:3 comment="SiAs3, relaxed, DFT PBE" magnetic_moment_mub_per_atom=0.000 total_energy_ev_per_atom=-4.355 polymorph_energy_mev_per_atom=391 raw_formation_energy_mev_per_atom=487.8 pbc="T T T"
As 3.5720 2.5732 0.8794
As 4.8873 4.4106 2.8607
As 0.1290 0.0929 0.0318
Si 1.1863 1.7445 1.9496



[8]
4
Lattice="4.4980 0.0000 0.0000 2.2490 3.8954 0.0000 2.2490 1.2985 3.6726" Properties=species:S:1:pos:R:3 comment="Si3As, relaxed, DFT PBE" magnetic_moment_mub_per_atom=0.000 total_energy_ev_per_atom=-4.692 polymorph_energy_mev_per_atom=277 raw_formation_energy_mev_per_atom=537.7 pbc="T T T"
Si 6.7470 3.8954 2.7544
Si 4.4980 2.5969 1.8363
Si 2.2490 1.2985 0.9181
As 0.0000 0.0000 0.0000



[9]
4
Lattice="3.6978 0.0000 0.0000 0.0000 2.5468 0.3501 0.0000 1.6630 7.5527" Properties=species:S:1:pos:R:3 comment="Si3As, relaxed, DFT PBE" magnetic_moment_mub_per_atom=0.000 total_energy_ev_per_atom=-4.945 polymorph_energy_mev_per_atom=24 raw_formation_energy_mev_per_atom=285.0 pbc="T T T"
Si 0.0000 2.1049 3.9514
Si 1.8489 2.3029 2.2340
Si 1.8489 1.9069 5.6688
As 0.0000 0.0000 0.0000



[10]
6
Lattice="1.8030 -9.3004 0.0000 1.8030 9.3004 0.0000 0.0000 0.0000 3.4264" Properties=species:S:1:pos:R:3 comment="SiAs2, relaxed, DFT PBE" magnetic_moment_mub_per_atom=0.000 total_energy_ev_per_atom=-4.571 polymorph_energy_mev_per_atom=421 raw_formation_energy_mev_per_atom=336.2 pbc="T T T"
Si 1.8030 -7.2321 0.8566
Si 1.8030 7.2321 2.5698
As 1.8030 -1.1183 0.8566
As 1.8030 5.2814 0.8566
As 1.8030 -5.2814 2.5698
As 1.8030 1.1183 2.5698



[11]
6
Lattice="-1.2070 -2.8752 -4.3359 2.4652 -2.0266 4.2824 -4.7982 1.3602 1.9106" Properties=species:S:1:pos:R:3 comment="SiAs2, relaxed, DFT PBE" magnetic_moment_mub_per_atom=0.000 total_energy_ev_per_atom=-4.451 polymorph_energy_mev_per_atom=541 raw_formation_energy_mev_per_atom=456.1 pbc="T T T"
As -1.0286 -2.8976 1.9170
As -1.2583 -2.9166 -1.7433
As -2.2817 -0.6250 3.6004
As -2.5114 -0.6440 -0.0599
Si 0.3145 -1.2254 -0.0134
Si 0.9436 -3.6763 -0.0401



[12]
6
Lattice="-0.7604 -2.3599 -1.2105 2.3286 -1.1969 0.8707 -6.9196 -4.2595 12.6503" Properties=species:S:1:pos:R:3 comment="SiAs5, relaxed, DFT PBE" magnetic_moment_mub_per_atom=0.000 total_energy_ev_per_atom=-4.282 polymorph_energy_mev_per_atom=244 raw_formation_energy_mev_per_atom=496.7 pbc="T T T"
Si 0.7841 -1.7784 -0.1699
As -3.8445 -4.6276 8.2920
As -5.8699 -3.6134 10.7313
As -1.5069 -3.1887 4.0185
As -1.0497 -0.6461 1.9190
As -3.4598 -2.1298 6.3252